Record 1
Computed, not measured: crystalline IrI2 at its relaxed geometry at the GGA-PBE level of DFT.

Lattice parameters (Å, degrees): 8.442 8.442 8.442 60.00 60.00 60.00
Sites, in units of the cell vectors:
Ir: 0.125 0.125 0.125
Ir: 0.875 0.875 0.875
I: 0.000 0.000 0.000
I: 0.000 0.000 0.500
I: 0.000 0.500 0.000
I: 0.500 0.000 0.000

Symmetry: Fd-3m
Raw total energy, eV/atom: -3.378
Calculated volume, Å³ per cell: 425


Record 2
Computed, not measured: crystalline IrI at its relaxed geometry at the GGA-PBE level of DFT.

Lattice parameters (Å, degrees): 5.542 5.542 5.542 90.00 90.00 90.00
Sites, in units of the cell vectors:
Ir: 0.000 0.000 0.000
Ir: 0.000 0.500 0.500
Ir: 0.500 0.000 0.500
Ir: 0.500 0.500 0.000
I: 0.000 0.000 0.500
I: 0.000 0.500 0.000
I: 0.500 0.000 0.000
I: 0.500 0.500 0.500

Symmetry: Fm-3m
Raw total energy, eV/atom: -4.245
Calculated volume, Å³ per cell: 170


Record 3
Computed, not measured: crystalline KIrI at its relaxed geometry at the GGA-PBE level of DFT.

Lattice parameters (Å, degrees): 8.613 8.613 5.275 90.00 90.00 120.00
Sites, in units of the cell vectors:
K: 0.000 0.000 0.000
K: 0.333 0.667 0.500
K: 0.667 0.333 0.500
Ir: 0.000 0.164 0.500
Ir: 0.164 0.000 0.500
Ir: 0.836 0.836 0.500
I: 0.000 0.384 0.000
I: 0.384 0.000 0.000
I: 0.616 0.616 0.000

Symmetry: P-62m
Raw total energy, eV/atom: -3.518
Calculated volume, Å³ per cell: 339


Record 4
Computed, not measured: crystalline La4IrI5 at its relaxed geometry at the GGA-PBE level of DFT.

Lattice parameters (Å, degrees): 10.283 10.283 9.345 103.32 103.32 24.17
Sites, in units of the cell vectors:
La: 0.001 0.001 0.207
La: 0.353 0.353 0.923
La: 0.647 0.647 0.077
La: 0.999 0.999 0.793
Ir: 0.500 0.500 0.000
I: 0.170 0.170 0.347
I: 0.174 0.174 0.826
I: 0.500 0.500 0.500
I: 0.826 0.826 0.174
I: 0.830 0.830 0.653

Symmetry: C2/m
Raw total energy, eV/atom: -4.936
Calculated volume, Å³ per cell: 393


Record 5
Computed, not measured: crystalline IrI2N4 at its relaxed geometry at the GGA-PBE level of DFT.

Lattice parameters (Å, degrees): 5.994 5.994 6.302 90.00 90.00 90.00
Sites, in units of the cell vectors:
Ir: 0.000 0.000 0.000
Ir: 0.500 0.500 0.500
I: 0.000 0.500 0.250
I: 0.000 0.500 0.750
I: 0.500 0.000 0.250
I: 0.500 0.000 0.750
N: 0.225 0.225 0.000
N: 0.225 0.775 0.000
N: 0.275 0.275 0.500
N: 0.275 0.725 0.500
N: 0.725 0.275 0.500
N: 0.725 0.725 0.500
N: 0.775 0.225 0.000
N: 0.775 0.775 0.000

Symmetry: I4/mmm
Raw total energy, eV/atom: -4.521
Calculated volume, Å³ per cell: 226


Record 6
Computed, not measured: crystalline NbIrI4 at its relaxed geometry at the GGA-PBE level of DFT.

Lattice parameters (Å, degrees): 8.632 8.632 8.632 32.96 32.96 32.96
Sites, in units of the cell vectors:
Nb: 0.000 0.000 0.000
Ir: 0.500 0.500 0.500
I: 0.123 0.123 0.123
I: 0.371 0.371 0.371
I: 0.629 0.629 0.629
I: 0.877 0.877 0.877

Symmetry: R-3m
Raw total energy, eV/atom: -3.671
Calculated volume, Å³ per cell: 169


Record 7
Computed, not measured: crystalline Nd4IrI5 at its relaxed geometry at the GGA-PBE level of DFT.

Lattice parameters (Å, degrees): 10.202 10.202 9.180 102.65 102.65 24.08
Sites, in units of the cell vectors:
Nd: 0.000 0.000 0.205
Nd: 0.000 0.000 0.795
Nd: 0.355 0.355 0.922
Nd: 0.645 0.645 0.078
Ir: 0.500 0.500 0.000
I: 0.168 0.168 0.346
I: 0.175 0.175 0.830
I: 0.500 0.500 0.500
I: 0.825 0.825 0.170
I: 0.832 0.832 0.654

Symmetry: C2/m
Raw total energy, eV/atom: -4.770
Calculated volume, Å³ per cell: 380


Record 8
Computed, not measured: crystalline Nd2IrI at its relaxed geometry at the GGA-PBE level of DFT.

Lattice parameters (Å, degrees): 4.215 4.215 24.300 90.00 90.00 120.00
Sites, in units of the cell vectors:
Nd: 0.000 0.000 0.228
Nd: 0.000 0.000 0.772
Nd: 0.333 0.667 0.439
Nd: 0.333 0.667 0.894
Nd: 0.667 0.333 0.106
Nd: 0.667 0.333 0.561
Ir: 0.000 0.000 0.500
Ir: 0.333 0.667 0.167
Ir: 0.667 0.333 0.833
I: 0.000 0.000 0.000
I: 0.333 0.667 0.667
I: 0.667 0.333 0.333

Symmetry: R-3m
Raw total energy, eV/atom: -5.950
Calculated volume, Å³ per cell: 374